1.
First-principles (PBE) data for a relaxed structure of LiTaW2, as listed in the Alexandria database.

Results
ΔE_f in eV/f.u.: 1.6
V in Å³/cell: 128
Energy relative to the lowest polymorph listed for this composition in eV per atom: 0.149

a b c (Å): 3.2820 4.3777 8.8931
angles (deg): 90.00 90.00 90.00
Space group Immm (No. 71)
Asymmetric unit:
Li  0.0000  0.0000  0.0000
Ta  0.0000  0.0000  0.5000
W  0.0000  0.5000  0.2480



2.
First-principles (PBE) data for a relaxed structure of TbPr2Y6Th3, as listed in the Alexandria database.

Results
ΔE_f in eV/f.u.: 0.2
V in Å³/cell: 785

a b c (Å): 6.2423 10.8136 11.8149
angles (deg): 90.00 100.18 90.00
Space group C2/m (No. 12)
Asymmetric unit:
Tb  0.0000  0.0000  0.0000
Pr  0.0000  0.3337  0.0000
Y  0.2475  0.0000  0.7432
Y  0.2481  0.3335  0.7435
Th  0.0000  0.1671  0.5000
Th  0.0000  0.5000  0.5000